Y2Ti2Ni15 | PBE | relaxed

Computed properties:
theoretical density	7.7	g/cm³
calculated volume	13.06	A^3/atom
raw total energy	-6.3859	eV per atom

Cell and atoms, written as extended XYZ:
```
19
Lattice="4.166 2.405 4.125 -4.166 2.405 4.125 0.000 -4.811 4.125" Properties=species:S:1:pos:R:3 pbc="T T T"
Y 0.000 0.000 1.867
Y 0.000 0.000 10.509
Ti 0.000 0.000 4.934
Ti 0.000 0.000 7.442
Ni -2.083 -1.203 4.125
Ni 0.000 -2.396 3.993
Ni -2.075 1.198 3.993
Ni -1.241 -2.150 6.188
Ni -2.483 0.000 6.188
Ni -2.075 -1.198 8.383
Ni -2.083 1.203 8.251
Ni 1.241 -2.150 6.188
Ni 0.000 2.405 4.125
Ni -1.241 2.150 6.188
Ni 2.075 1.198 3.993
Ni 2.483 0.000 6.188
Ni 1.241 2.150 6.188
Ni 2.075 -1.198 8.383
Ni 0.000 2.396 8.383
```

TiZnNi2 | PBE | relaxed

Computed properties:
theoretical density	7.4	g/cm³
calculated volume	12.92	A^3/atom
raw total energy	-5.5367	eV per atom

Cell and atoms, written as extended XYZ:
```
4
Lattice="3.024 0.000 0.000 0.000 3.024 0.000 0.000 0.000 5.650" Properties=species:S:1:pos:R:3 pbc="T T T"
Ti 0.000 0.000 0.000
Zn 0.000 0.000 2.825
Ni 1.512 1.512 1.402
Ni 1.512 1.512 4.247
```

Ti4ZnNi | PBE | relaxed

Computed properties:
ΔE to the lowest computed polymorph	420.8	meV per atom
theoretical density	5.0	g/cm³
calculated volume	17.58	A^3/atom
raw total energy	-6.2494	eV per atom

Cell and atoms, written as extended XYZ:
```
6
Lattice="2.120 1.224 6.772 -2.120 1.224 6.772 0.000 -2.448 6.772" Properties=species:S:1:pos:R:3 pbc="T T T"
Ti 0.000 0.000 2.416
Ti 0.000 0.000 7.518
Ti 0.000 0.000 12.799
Ti 0.000 0.000 17.901
Zn 0.000 0.000 10.158
Ni 0.000 0.000 0.000
```

TiZn2Ni8 | PBE | relaxed

Computed properties:
ΔE to the lowest computed polymorph	0.0	meV per atom
theoretical density	8.0	g/cm³
calculated volume	12.19	A^3/atom
raw total energy	-5.2226	eV per atom

Cell and atoms, written as extended XYZ:
```
11
Lattice="3.281 -6.201 0.000 3.281 6.201 0.000 -2.836 0.000 3.294" Properties=species:S:1:pos:R:3 pbc="T T T"
Ti 0.000 0.000 0.000
Zn 1.863 2.305 1.647
Zn 1.863 -2.305 1.647
Ni -0.514 1.631 2.399
Ni 3.281 3.790 0.000
Ni -0.514 -1.631 2.399
Ni 2.487 0.000 0.775
Ni 1.239 0.000 2.519
Ni 4.240 1.631 0.895
Ni 3.281 -3.790 0.000
Ni 4.240 -1.631 0.895
```

Ti3ZnNi12 | PBE | relaxed

Computed properties:
theoretical density	8.1	g/cm³
calculated volume	11.67	A^3/atom
raw total energy	-6.2928	eV per atom

Cell and atoms, written as extended XYZ:
```
16
Lattice="3.602 0.000 0.000 0.000 3.602 0.000 0.000 0.000 14.388" Properties=species:S:1:pos:R:3 pbc="T T T"
Ti 0.000 0.000 0.000
Ti 0.000 0.000 3.658
Ti 0.000 0.000 10.730
Zn 0.000 0.000 7.194
Ni 0.000 1.801 1.799
Ni 0.000 1.801 5.404
Ni 0.000 1.801 8.984
Ni 0.000 1.801 12.590
Ni 1.801 0.000 1.799
Ni 1.801 0.000 5.404
Ni 1.801 0.000 8.984
Ni 1.801 0.000 12.590
Ni 1.801 1.801 0.000
Ni 1.801 1.801 3.594
Ni 1.801 1.801 7.194
Ni 1.801 1.801 10.794
```

TiZn3Ni | PBE | relaxed

Computed properties:
ΔE to the lowest computed polymorph	0.0	meV per atom
theoretical density	7.1	g/cm³
calculated volume	14.18	A^3/atom
raw total energy	-3.7427	eV per atom

Cell and atoms, written as extended XYZ:
```
15
Lattice="5.970 0.000 0.000 0.000 5.970 0.000 0.000 0.000 5.970" Properties=species:S:1:pos:R:3 pbc="T T T"
Ti 0.000 0.000 2.985
Ti 0.000 2.985 0.000
Ti 2.985 0.000 0.000
Zn 0.000 0.000 0.000
Zn 1.642 1.642 1.642
Zn 1.642 1.642 4.328
Zn 1.642 4.328 1.642
Zn 1.642 4.328 4.328
Zn 4.328 1.642 1.642
Zn 4.328 1.642 4.328
Zn 4.328 4.328 1.642
Zn 4.328 4.328 4.328
Ni 0.000 2.985 2.985
Ni 2.985 0.000 2.985
Ni 2.985 2.985 0.000
```

Ti3Zn2Ni4 | PBE | relaxed

Computed properties:
theoretical density	7.2	g/cm³
calculated volume	13.13	A^3/atom
raw total energy	-5.8393	eV per atom

Cell and atoms, written as extended XYZ:
```
9
Lattice="3.605 -2.080 0.000 3.605 2.080 0.000 -0.011 0.000 7.880" Properties=species:S:1:pos:R:3 pbc="T T T"
Ti 0.000 0.000 0.000
Ti 2.398 0.000 3.280
Ti 4.801 0.000 4.599
Zn 2.396 0.000 6.129
Zn 4.803 0.000 1.751
Ni 7.205 0.000 2.660
Ni -0.005 0.000 5.220
Ni 2.402 0.000 0.747
Ni 4.797 0.000 7.133
```

Ti5Zn4Ni | PBE | relaxed

Computed properties:
theoretical density	6.1	g/cm³
calculated volume	15.20	A^3/atom
raw total energy	-5.2428	eV per atom

Cell and atoms, written as extended XYZ:
```
10
Lattice="3.116 0.000 0.000 0.000 3.116 0.000 0.000 0.000 15.658" Properties=species:S:1:pos:R:3 pbc="T T T"
Ti 0.000 0.000 0.000
Ti 0.000 0.000 3.192
Ti 0.000 0.000 6.396
Ti 0.000 0.000 9.262
Ti 0.000 0.000 12.466
Zn 1.558 1.558 1.593
Zn 1.558 1.558 4.785
Zn 1.558 1.558 10.873
Zn 1.558 1.558 14.065
Ni 1.558 1.558 7.829
```

Ti3ZnNi4 | PBE | relaxed

Computed properties:
theoretical density	6.9	g/cm³
calculated volume	13.27	A^3/atom
raw total energy	-6.3925	eV per atom

Cell and atoms, written as extended XYZ:
```
8
Lattice="2.104 1.215 6.925 -2.104 1.215 6.925 0.000 -2.429 6.925" Properties=species:S:1:pos:R:3 pbc="T T T"
Ti 0.000 0.000 0.000
Ti 0.000 0.000 5.075
Ti 0.000 0.000 15.701
Zn 0.000 0.000 10.388
Ni 0.000 0.000 2.499
Ni 0.000 0.000 7.632
Ni 0.000 0.000 13.144
Ni 0.000 0.000 18.277
```

Ti6ZnNi2 | PBE | relaxed

Computed properties:
theoretical density	5.5	g/cm³
calculated volume	15.70	A^3/atom
raw total energy	-6.8391	eV per atom

Cell and atoms, written as extended XYZ:
```
18
Lattice="-3.959 4.122 4.331 3.959 -4.122 4.331 3.959 4.122 -4.331" Properties=species:S:1:pos:R:3 pbc="T T T"
Ti 3.959 -2.285 2.745
Ti 2.314 0.000 2.120
Ti 5.603 0.000 2.120
Ti 2.436 2.338 0.000
Ti 5.481 2.338 0.000
Ti 0.000 1.837 1.587
Ti 3.959 2.285 2.745
Ti -1.522 1.783 4.331
Ti 1.522 1.783 4.331
Ti -1.645 4.122 2.211
Ti 1.645 4.122 2.211
Ti 0.000 6.407 1.587
Zn 3.959 0.000 0.000
Zn 0.000 4.122 0.000
Ni 1.184 0.000 0.000
Ni 6.733 0.000 0.000
Ni 0.000 0.000 3.160
Ni 0.000 0.000 5.503
```

TiZnNi6 | PBE | relaxed

Computed properties:
ΔE to the lowest computed polymorph	0.0	meV per atom
theoretical density	8.3	g/cm³
calculated volume	11.59	A^3/atom
raw total energy	-5.7860	eV per atom

Cell and atoms, written as extended XYZ:
```
8
Lattice="5.108 0.000 0.000 0.000 5.108 0.000 0.000 0.000 3.554" Properties=species:S:1:pos:R:3 pbc="T T T"
Ti 0.000 0.000 0.000
Zn 2.554 2.554 0.000
Ni 0.000 2.554 0.000
Ni 1.276 1.276 1.777
Ni 1.276 3.832 1.777
Ni 2.554 0.000 0.000
Ni 3.832 1.276 1.777
Ni 3.832 3.832 1.777
```

TiZnNi | PBE | relaxed

Computed properties:
theoretical density	7.0	g/cm³
calculated volume	13.61	A^3/atom
raw total energy	-5.2678	eV per atom

Cell and atoms, written as extended XYZ:
```
3
Lattice="4.233 0.000 0.000 -2.116 3.666 0.000 0.000 0.000 2.632" Properties=species:S:1:pos:R:3 pbc="T T T"
Ti 0.000 0.000 0.000
Zn 0.000 2.444 1.314
Ni 2.116 1.222 1.322
```

Ti7ZnNi4 | PBE | relaxed

Computed properties:
theoretical density	5.9	g/cm³
calculated volume	15.00	A^3/atom
raw total energy	-6.7112	eV per atom

Cell and atoms, written as extended XYZ:
```
12
Lattice="6.018 -2.350 0.000 6.018 2.350 0.000 -4.318 0.000 6.365" Properties=species:S:1:pos:R:3 pbc="T T T"
Ti 0.000 0.000 0.000
Ti -0.226 0.000 4.413
Ti 2.955 0.000 0.586
Ti 2.664 0.000 3.785
Ti 5.053 0.000 2.580
Ti 4.762 0.000 5.779
Ti 7.943 0.000 1.952
Zn 6.018 0.000 0.000
Ni -2.582 0.000 4.464
Ni 0.808 0.000 2.256
Ni 6.908 0.000 4.109
Ni 10.299 0.000 1.901
```

Ti2Zn3Ni4 | PBE | relaxed

Computed properties:
ΔE to the lowest computed polymorph	0.0	meV per atom
theoretical density	7.5	g/cm³
calculated volume	12.90	A^3/atom
raw total energy	-5.0828	eV per atom

Cell and atoms, written as extended XYZ:
```
9
Lattice="3.625 -2.067 0.000 3.625 2.067 0.000 -0.142 0.000 7.743" Properties=species:S:1:pos:R:3 pbc="T T T"
Ti 1.186 0.000 1.660
Ti 5.922 0.000 6.083
Zn 1.119 0.000 4.405
Zn 3.625 0.000 0.000
Zn 5.989 0.000 3.338
Ni 1.074 0.000 6.896
Ni 3.521 0.000 5.152
Ni 3.587 0.000 2.591
Ni 6.034 0.000 0.847
```

TiZn2Ni | PBE | relaxed

Computed properties:
theoretical density	7.2	g/cm³
calculated volume	13.60	A^3/atom
raw total energy	-4.2695	eV per atom

Cell and atoms, written as extended XYZ:
```
4
Lattice="0.000 3.008 3.008 3.008 0.000 3.008 3.008 3.008 0.000" Properties=species:S:1:pos:R:3 pbc="T T T"
Ti 0.000 0.000 0.000
Zn 1.504 1.504 1.504
Zn 4.512 4.512 4.512
Ni 3.008 3.008 3.008
```

TiZnNi | PBE | relaxed

Computed properties:
theoretical density	7.0	g/cm³
calculated volume	13.67	A^3/atom
raw total energy	-5.2723	eV per atom

Cell and atoms, written as extended XYZ:
```
6
Lattice="4.433 0.000 0.000 0.000 2.258 4.097 0.000 -2.258 4.097" Properties=species:S:1:pos:R:3 pbc="T T T"
Ti 1.108 -1.243 4.097
Ti 3.325 1.243 4.097
Zn 1.108 0.962 5.564
Zn 3.325 -0.962 5.564
Ni 1.108 0.919 2.763
Ni 3.325 -0.919 2.763
```

Ti4ZnNi15 | PBE | relaxed

Computed properties:
theoretical density	8.1	g/cm³
calculated volume	11.68	A^3/atom
raw total energy	-6.3924	eV per atom

Cell and atoms, written as extended XYZ:
```
20
Lattice="3.609 0.000 0.000 0.000 3.609 0.000 0.000 0.000 17.936" Properties=species:S:1:pos:R:3 pbc="T T T"
Ti 0.000 0.000 1.813
Ti 0.000 0.000 5.461
Ti 0.000 0.000 12.475
Ti 0.000 0.000 16.123
Zn 0.000 0.000 8.968
Ni 0.000 1.805 0.000
Ni 0.000 1.805 3.588
Ni 0.000 1.805 7.184
Ni 0.000 1.805 10.752
Ni 0.000 1.805 14.348
Ni 1.805 0.000 0.000
Ni 1.805 0.000 3.588
Ni 1.805 0.000 7.184
Ni 1.805 0.000 10.752
Ni 1.805 0.000 14.348
Ni 1.805 1.805 1.790
Ni 1.805 1.805 5.380
Ni 1.805 1.805 8.968
Ni 1.805 1.805 12.556
Ni 1.805 1.805 16.146
```

TiZn2Ni | PBE | relaxed

Computed properties:
theoretical density	7.1	g/cm³
calculated volume	13.86	A^3/atom
raw total energy	-4.2518	eV per atom

Cell and atoms, written as extended XYZ:
```
4
Lattice="2.921 0.000 0.000 0.000 2.921 0.000 0.000 0.000 6.496" Properties=species:S:1:pos:R:3 pbc="T T T"
Ti 0.000 0.000 0.000
Zn 1.460 1.460 1.838
Zn 1.460 1.460 4.658
Ni 0.000 0.000 3.248
```

Ti5ZnNi4 | PBE | relaxed

Computed properties:
theoretical density	6.4	g/cm³
calculated volume	14.02	A^3/atom
raw total energy	-6.7017	eV per atom

Cell and atoms, written as extended XYZ:
```
10
Lattice="3.050 0.000 0.000 0.000 3.050 0.000 0.000 0.000 15.074" Properties=species:S:1:pos:R:3 pbc="T T T"
Ti 0.000 0.000 0.000
Ti 0.000 0.000 2.934
Ti 0.000 0.000 5.872
Ti 0.000 0.000 9.202
Ti 0.000 0.000 12.141
Zn 1.525 1.525 7.537
Ni 1.525 1.525 1.491
Ni 1.525 1.525 4.438
Ni 1.525 1.525 10.637
Ni 1.525 1.525 13.583
```

Ti6ZnNi5 | PBE | relaxed

Computed properties:
theoretical density	6.4	g/cm³
calculated volume	13.96	A^3/atom
raw total energy	-6.7751	eV per atom

Cell and atoms, written as extended XYZ:
```
12
Lattice="-2.128 3.025 6.503 2.128 -3.025 6.503 2.128 3.025 -6.503" Properties=species:S:1:pos:R:3 pbc="T T T"
Ti 2.128 1.504 -2.241
Ti 0.000 1.456 0.000
Ti 2.128 1.504 2.241
Ti 0.000 1.521 4.262
Ti 0.000 4.594 0.000
Ti 0.000 1.521 8.744
Zn 0.000 0.000 6.503
Ni 2.128 0.000 0.000
Ni 0.000 0.000 2.107
Ni 2.128 0.000 4.565
Ni 0.000 3.025 1.938
Ni 0.000 0.000 10.900
```

Ti3ZnNi6 | PBE | relaxed

Computed properties:
theoretical density	7.2	g/cm³
calculated volume	12.95	A^3/atom
raw total energy	-6.2268	eV per atom

Cell and atoms, written as extended XYZ:
```
20
Lattice="4.327 -6.963 0.000 4.327 6.963 0.000 0.000 0.000 4.299" Properties=species:S:1:pos:R:3 pbc="T T T"
Ti 4.327 5.623 2.149
Ti 2.859 1.345 3.998
Ti 2.859 -1.345 1.849
Ti 5.795 1.345 3.998
Ti 5.795 -1.345 1.849
Ti 4.327 -5.623 0.000
Zn 4.327 2.947 2.319
Zn 4.327 -2.947 0.170
Ni 2.123 2.967 1.283
Ni 1.389 0.723 2.049
Ni 4.327 4.068 0.202
Ni 1.389 -0.723 4.199
Ni 4.327 0.629 1.794
Ni 2.123 -2.967 3.432
Ni 6.531 2.967 1.283
Ni 4.327 -0.629 3.943
Ni 7.265 0.723 2.049
Ni 4.327 -4.068 2.351
Ni 7.265 -0.723 4.199
Ni 6.531 -2.967 3.432
```

So what do the calculations give for formation energy? Going down the list: -7.15; -8.16; 4.38; -1.58; -9.15; -5.60; -8.19; -4.79; -8.81; -3.45; -7.01; -6.56; -1.67; -7.71; -4.92; -6.66; -9.54; -4.52; -7.25; -7.21; -6.04 kcal/mol of atoms.